No. 1
Computed, not measured: a relaxed Yb2PdRh crystal at the PBE level of DFT.

CIF file:
```
data_Yb2PdRh
_symmetry_space_group_name_H-M 'P 1'
_symmetry_Int_Tables_number 1
_symmetry_space_group_name_Hall 'P 1'
_cell_length_a 4.777
_cell_length_b 4.776
_cell_length_c 4.776
_cell_angle_alpha 60.01
_cell_angle_beta 60.00
_cell_angle_gamma 60.00
loop_
_atom_site_label
_atom_site_type_symbol
_atom_site_fract_x
_atom_site_fract_y
_atom_site_fract_z
Pd1 Pd 0.250 0.250 0.250
Yb1 Yb 0.000 0.000 0.000
Yb2 Yb 0.500 0.500 0.500
Rh1 Rh 0.750 0.750 0.750
```

* ΔH_f (0 K): -0.74 eV/atom
* spin magnetization: 0.00 μB per formula unit
* space group: Fm-3m (225)

---

No. 2
Computed, not measured: a relaxed RbNbCl4 crystal at the PBE level of DFT.

CIF file:
```
data_RbNbCl4
_symmetry_space_group_name_H-M 'P 1'
_symmetry_Int_Tables_number 1
_symmetry_space_group_name_Hall 'P 1'
_cell_length_a 6.468
_cell_length_b 7.177
_cell_length_c 9.725
_cell_angle_alpha 111.65
_cell_angle_beta 123.33
_cell_angle_gamma 90.00
loop_
_atom_site_label
_atom_site_type_symbol
_atom_site_fract_x
_atom_site_fract_y
_atom_site_fract_z
Cl1 Cl 0.394 0.612 0.800
Cl2 Cl 0.169 0.686 0.373
Cl3 Cl 0.394 0.188 0.800
Cl4 Cl 0.606 0.812 0.200
Cl5 Cl 0.831 0.314 0.627
Cl6 Cl 0.000 0.736 0.000
Cl7 Cl 0.606 0.388 0.200
Cl8 Cl 0.000 0.264 0.000
Nb1 Nb 0.248 0.473 0.947
Nb2 Nb 0.752 0.527 0.053
Rb1 Rb 0.162 0.195 0.390
Rb2 Rb 0.838 0.805 0.610
```

* ΔE_f (raw): -1431 meV per atom
* spin magnetization: 0.00 μB per formula unit
* space group: C2/m (12)

---

No. 3
Computed, not measured: a relaxed He crystal at the PBE level of DFT.

CIF file:
```
data_He
_symmetry_space_group_name_H-M 'P 1'
_symmetry_Int_Tables_number 1
_symmetry_space_group_name_Hall 'P 1'
_cell_length_a 2.686
_cell_length_b 2.686
_cell_length_c 2.686
_cell_angle_alpha 60.00
_cell_angle_beta 60.00
_cell_angle_gamma 60.00
loop_
_atom_site_label
_atom_site_type_symbol
_atom_site_fract_x
_atom_site_fract_y
_atom_site_fract_z
He1 He 0.000 0.000 0.000
```

* distance to the lowest polymorph of the same formula: 0.00 eV per formula unit
* ΔH_f (0 K): 0.00 eV/atom
* spin magnetization: 0.02 μB per formula unit
* space group: Fm-3m (225)

---

No. 4
Computed, not measured: a relaxed K2ReRu crystal at the PBE level of DFT.

CIF file:
```
data_K2ReRu
_symmetry_space_group_name_H-M 'P 1'
_symmetry_Int_Tables_number 1
_symmetry_space_group_name_Hall 'P 1'
_cell_length_a 11.856
_cell_length_b 11.856
_cell_length_c 11.856
_cell_angle_alpha 13.65
_cell_angle_beta 13.65
_cell_angle_gamma 13.65
loop_
_atom_site_label
_atom_site_type_symbol
_atom_site_fract_x
_atom_site_fract_y
_atom_site_fract_z
Ru1 Ru 0.750 0.750 0.750
K1 K 0.498 0.498 0.498
K2 K 0.002 0.002 0.002
Re1 Re 0.250 0.250 0.250
```

* distance to the lowest polymorph of the same formula: 2.45 eV per formula unit
* ΔH_f (0 K): 1.38 eV/atom
* spin magnetization: 0.00 μB per formula unit
* space group: R-3m (166)

---

No. 5
Computed, not measured: a relaxed Ce8GaSb5 crystal at the PBE level of DFT.

CIF file:
```
data_Ce8GaSb5
_symmetry_space_group_name_H-M 'P 1'
_symmetry_Int_Tables_number 1
_symmetry_space_group_name_Hall 'P 1'
_cell_length_a 8.135
_cell_length_b 8.135
_cell_length_c 8.135
_cell_angle_alpha 109.50
_cell_angle_beta 109.41
_cell_angle_gamma 109.50
loop_
_atom_site_label
_atom_site_type_symbol
_atom_site_fract_x
_atom_site_fract_y
_atom_site_fract_z
Sb1 Sb 0.994 0.370 0.122
Sb2 Sb 0.500 0.000 0.500
Sb3 Sb 0.376 0.128 0.006
Sb4 Sb 0.878 0.872 0.248
Sb5 Sb 0.752 0.630 0.624
Ce1 Ce 0.619 0.398 0.870
Ce2 Ce 0.275 0.259 0.388
Ce3 Ce 0.129 0.741 0.016
Ce4 Ce 0.612 0.888 0.871
Ce5 Ce 0.780 0.252 0.381
Ce6 Ce 0.984 0.112 0.725
Ce7 Ce 0.130 0.748 0.528
Ce8 Ce 0.472 0.602 0.220
Ga1 Ga 0.250 0.500 0.750
```

* ΔE_f (raw): -816 meV per atom
* spin magnetization: 10.37 μB per formula unit
* space group: I-4 (82)

---

No. 6
Computed, not measured: a relaxed V3MoH crystal at the PBE level of DFT.

CIF file:
```
data_V3MoH
_symmetry_space_group_name_H-M 'P 1'
_symmetry_Int_Tables_number 1
_symmetry_space_group_name_Hall 'P 1'
_cell_length_a 5.347
_cell_length_b 6.171
_cell_length_c 5.095
_cell_angle_alpha 72.61
_cell_angle_beta 58.81
_cell_angle_gamma 54.53
loop_
_atom_site_label
_atom_site_type_symbol
_atom_site_fract_x
_atom_site_fract_y
_atom_site_fract_z
V1 V 0.936 0.329 0.958
V2 V 0.946 0.845 0.946
V3 V 0.197 0.075 0.442
V4 V 0.205 0.594 0.441
V5 V 0.673 0.592 0.464
V6 V 0.457 0.330 0.939
Mo1 Mo 0.442 0.838 0.948
Mo2 Mo 0.693 0.086 0.451
H1 H 0.020 0.396 0.565
H2 H 0.004 0.523 0.082
```

* distance to the lowest polymorph of the same formula: 0.00 eV per formula unit
* spin magnetization: 0.00 μB per formula unit
* space group: P1 (1)

---

No. 7
Computed, not measured: a relaxed BeCu3Se4 crystal at the PBE level of DFT.

CIF file:
```
data_BeCu3Se4
_symmetry_space_group_name_H-M 'P 1'
_symmetry_Int_Tables_number 1
_symmetry_space_group_name_Hall 'P 1'
_cell_length_a 5.402
_cell_length_b 5.402
_cell_length_c 6.653
_cell_angle_alpha 113.95
_cell_angle_beta 113.95
_cell_angle_gamma 90.00
loop_
_atom_site_label
_atom_site_type_symbol
_atom_site_fract_x
_atom_site_fract_y
_atom_site_fract_z
Be1 Be 0.000 0.000 0.000
Se1 Se 0.119 0.644 0.763
Se2 Se 0.356 0.356 0.237
Se3 Se 0.881 0.881 0.237
Se4 Se 0.644 0.119 0.763
Cu1 Cu 0.500 0.500 0.000
Cu2 Cu 0.250 0.750 0.500
Cu3 Cu 0.750 0.250 0.500
```

* ΔE_f (raw): -276 meV per atom
* spin magnetization: 0.00 μB per formula unit
* space group: I-42m (121)

---

No. 8
Computed, not measured: a relaxed MoPdPb2 crystal at the PBE level of DFT.

CIF file:
```
data_MoPdPb2
_symmetry_space_group_name_H-M 'P 1'
_symmetry_Int_Tables_number 1
_symmetry_space_group_name_Hall 'P 1'
_cell_length_a 4.864
_cell_length_b 4.864
_cell_length_c 4.864
_cell_angle_alpha 60.00
_cell_angle_beta 60.00
_cell_angle_gamma 60.00
loop_
_atom_site_label
_atom_site_type_symbol
_atom_site_fract_x
_atom_site_fract_y
_atom_site_fract_z
Pd1 Pd 0.500 0.500 0.500
Pb1 Pb 0.750 0.750 0.750
Pb2 Pb 0.250 0.250 0.250
Mo1 Mo 0.000 0.000 0.000
```

* distance to the lowest polymorph of the same formula: 0.00 eV per formula unit
* ΔH_f (0 K): 0.48 eV/atom
* spin magnetization: 0.00 μB per formula unit
* space group: Fm-3m (225)

---

No. 9
Computed, not measured: a relaxed TbEr3Mg6 crystal at the PBE level of DFT.

CIF file:
```
data_TbEr3Mg6
_symmetry_space_group_name_H-M 'P 1'
_symmetry_Int_Tables_number 1
_symmetry_space_group_name_Hall 'P 1'
_cell_length_a 7.773
_cell_length_b 7.773
_cell_length_c 7.773
_cell_angle_alpha 60.00
_cell_angle_beta 60.00
_cell_angle_gamma 60.00
loop_
_atom_site_label
_atom_site_type_symbol
_atom_site_fract_x
_atom_site_fract_y
_atom_site_fract_z
Mg1 Mg 0.750 0.250 0.750
Mg2 Mg 0.750 0.250 0.250
Mg3 Mg 0.250 0.750 0.250
Mg4 Mg 0.250 0.750 0.750
Mg5 Mg 0.250 0.250 0.750
Mg6 Mg 0.750 0.750 0.250
Er1 Er 0.250 0.250 0.250
Er2 Er 0.500 0.500 0.500
Er3 Er 0.750 0.750 0.750
Tb1 Tb 0.000 0.000 0.000
```

* distance to the lowest polymorph of the same formula: 9.92 eV per formula unit
* ΔH_f (0 K): 0.93 eV/atom
* spin magnetization: 0.00 μB per formula unit
* space group: Fm-3m (225)

---

No. 10
Computed, not measured: a relaxed Pr6TlIr2Br3 crystal at the PBE level of DFT.

CIF file:
```
data_Pr6TlIr2Br3
_symmetry_space_group_name_H-M 'P 1'
_symmetry_Int_Tables_number 1
_symmetry_space_group_name_Hall 'P 1'
_cell_length_a 4.221
_cell_length_b 9.276
_cell_length_c 10.334
_cell_angle_alpha 106.94
_cell_angle_beta 101.79
_cell_angle_gamma 90.00
loop_
_atom_site_label
_atom_site_type_symbol
_atom_site_fract_x
_atom_site_fract_y
_atom_site_fract_z
Ir1 Ir 0.830 0.656 0.660
Ir2 Ir 0.170 0.344 0.340
Pr1 Pr 0.975 0.736 0.949
Pr2 Pr 0.336 0.868 0.672
Pr3 Pr 0.683 0.565 0.366
Pr4 Pr 0.664 0.132 0.328
Pr5 Pr 0.317 0.435 0.634
Pr6 Pr 0.025 0.264 0.051
Tl1 Tl 0.500 0.000 0.000
Br1 Br 0.167 0.844 0.334
Br2 Br 0.500 0.500 0.000
Br3 Br 0.833 0.156 0.666
```

* ΔE_f (raw): -967 meV per atom
* spin magnetization: 0.00 μB per formula unit
* space group: C2/m (12)

---

No. 11
Computed, not measured: a relaxed La2TcAu crystal at the PBE level of DFT.

CIF file:
```
data_La2TcAu
_symmetry_space_group_name_H-M 'P 1'
_symmetry_Int_Tables_number 1
_symmetry_space_group_name_Hall 'P 1'
_cell_length_a 3.610
_cell_length_b 3.596
_cell_length_c 8.455
_cell_angle_alpha 64.93
_cell_angle_beta 90.00
_cell_angle_gamma 90.00
loop_
_atom_site_label
_atom_site_type_symbol
_atom_site_fract_x
_atom_site_fract_y
_atom_site_fract_z
La1 La 0.000 0.980 0.022
La2 La 0.000 0.520 0.478
Tc1 Tc 0.500 0.250 0.250
Au1 Au 0.500 0.750 0.750
```

* ΔH_f (0 K): -0.30 eV/atom
* spin magnetization: 0.00 μB per formula unit
* space group: P2/m (10)

---

No. 12
Computed, not measured: a relaxed TlBRh3 crystal at the PBE level of DFT.

CIF file:
```
data_TlBRh3
_symmetry_space_group_name_H-M 'P 1'
_symmetry_Int_Tables_number 1
_symmetry_space_group_name_Hall 'P 1'
_cell_length_a 7.498
_cell_length_b 7.498
_cell_length_c 5.084
_cell_angle_alpha 90.00
_cell_angle_beta 90.00
_cell_angle_gamma 139.19
loop_
_atom_site_label
_atom_site_type_symbol
_atom_site_fract_x
_atom_site_fract_y
_atom_site_fract_z
Tl1 Tl 0.821 0.179 0.750
Tl2 Tl 0.179 0.821 0.250
B1 B 0.453 0.547 0.250
B2 B 0.547 0.453 0.750
Rh1 Rh 0.390 0.099 0.750
Rh2 Rh 0.610 0.901 0.250
Rh3 Rh 0.901 0.610 0.750
Rh4 Rh 0.000 0.000 0.000
Rh5 Rh 0.000 0.000 0.500
Rh6 Rh 0.099 0.390 0.250
```

* ΔH_f (0 K): 0.60 eV/atom
* spin magnetization: 0.00 μB per formula unit
* space group: Cmcm (63)